DFT (PBE) results for crystalline Th3Al3Ag at its relaxed geometry.

Lattice parameters (Å, degrees): 4.5498 6.0611 13.9666 84.24 80.63 67.96
Closest atoms and distances in Å follow each position.
Fractional positions:
Ag 0.2427 0.9134 0.6013  4 Al 2.68-2.83
Ag 0.7573 0.0866 0.3987  4 Al 2.68-2.83
Th 0.5252 0.3262 0.6234  6 Al 3.16-3.30, 4 Ag 3.27-3.43
Th 0.3949 0.2892 0.9209  7 Al 3.19-3.32
Th 0.4748 0.6738 0.3766  6 Al 3.16-3.30, 4 Ag 3.27-3.43
Th 0.2556 0.2669 0.2219  6 Al 3.16-3.28, 2 Ag 3.45
Th 0.7444 0.7331 0.7781  6 Al 3.16-3.28, 2 Ag 3.45
Th 0.6051 0.7108 0.0791  7 Al 3.19-3.32
Al 0.8926 0.1410 0.0738  2 Al 2.63-2.67
Al 0.9611 0.8466 0.2312  1 Al 2.67, 1 Ag 2.72
Al 0.8719 0.7127 0.5434  3 Ag 2.68-2.83, 1 Al 2.72
Al 0.1074 0.8590 0.9262  2 Al 2.63-2.67
Al 0.1281 0.2873 0.4566  3 Ag 2.68-2.83, 1 Al 2.72
Al 0.0389 0.1534 0.7688  1 Al 2.67, 1 Ag 2.72

Crystal system   monoclinic
ΔE_f   -0.306 eV/atom
Fermi-level density of states   14.20 states/eV per cell
Symmetry   C2/m (12)

DFT (PBE) results for crystalline ZrSc2Cl at its relaxed geometry.

Lattice parameters (Å, degrees): 3.1645 3.1645 9.3564 90.00 90.00 90.00
Closest atoms and distances in Å follow each position.
Fractional positions:
Sc 0.5000 0.5000 0.2456  4 Zr 3.11, 8 Sc 3.16-3.38
Sc 0.0000 0.0000 0.9744  4 Cl 2.75
Zr 0.0000 0.0000 0.4762  4 Sc 3.11, 4 Zr 3.16
Cl 0.5000 0.5000 0.8037  4 Sc 2.75

Crystal system   tetragonal
Fermi-level density of states   3.83 states/eV per cell
Symmetry   P4mm (99)
Energy relative to the lowest polymorph listed for this composition   251.1 meV/atom

DFT (PBE) results for crystalline ZnSiP at its relaxed geometry.

Lattice parameters (Å, degrees): 4.0036 4.0048 8.6720 92.63 100.57 119.95
Closest atoms and distances in Å follow each position.
Fractional positions:
P 0.0043 0.6866 0.6848  1 Si 2.28, 3 Zn 2.34-2.35
P 0.9957 0.3134 0.3152  1 Si 2.28, 3 Zn 2.34-2.35
Zn 0.6920 0.6654 0.3633  3 P 2.34-2.35
Zn 0.3080 0.3346 0.6367  3 P 2.34-2.35
Si 0.1406 0.8151 0.9554  1 P 2.28, 3 Si 2.43-2.44
Si 0.8594 0.1849 0.0446  1 P 2.28, 3 Si 2.43-2.44

Crystal system   triclinic
Fermi-level density of states   0.23 states/eV per cell
Symmetry   P-1 (2)
Energy relative to the lowest polymorph listed for this composition   0.0 meV/atom

DFT (PBE) results for crystalline PaPtAu2 at its relaxed geometry.

Lattice parameters (Å, degrees): 4.8427 4.8427 4.8427 60.00 60.00 60.00
Closest atoms and distances in Å follow each position.
Fractional positions:
Au 0.2500 0.2500 0.2500  4 Pa 2.97, 4 Pt 2.97
Au 0.7500 0.7500 0.7500  4 Pa 2.97, 4 Pt 2.97
Pa 0.0000 0.0000 0.0000  8 Au 2.97
Pt 0.5000 0.5000 0.5000  8 Au 2.97

Crystal system   cubic
ΔE_f   -0.435 eV/atom
Fermi-level density of states   4.37 states/eV per cell
Symmetry   Fm-3m (225)

DFT (PBE) results for crystalline Mn2OsW at its relaxed geometry.

Lattice parameters (Å, degrees): 4.2684 4.2684 4.2684 60.00 60.00 60.00
Closest atoms and distances in Å follow each position.
Fractional positions:
W 0.7500 0.7500 0.7500  4 Os 2.61, 4 Mn 2.61
Mn 0.2500 0.2500 0.2500  4 Mn 2.61, 4 Os 2.61
Mn 0.0000 0.0000 0.0000  4 W 2.61, 4 Mn 2.61
Os 0.5000 0.5000 0.5000  4 Mn 2.61, 4 W 2.61

Crystal system   cubic
ΔE_f   0.073 eV/atom
Fermi-level density of states   2.76 states/eV per cell
Symmetry   F-43m (216)

DFT (PBE) results for crystalline AlAg2Mo at its relaxed geometry.

Lattice parameters (Å, degrees): 4.2466 2.7862 5.7888 76.32 90.00 90.00
Closest atoms and distances in Å follow each position.
Fractional positions:
Ag 0.5000 0.4403 0.2431  2 Al 2.67, 6 Ag 2.79-2.87, 1 Mo 2.94
Ag 0.0000 0.0592 0.0068  1 Al 2.68, 6 Ag 2.79-2.87
Mo 0.5000 0.7038 0.7198  4 Al 2.75, 2 Mo 2.79, 7 Ag 2.94-3.02
Al 0.0000 0.2968 0.5303  3 Ag 2.67-2.68, 4 Mo 2.75, 2 Al 2.79

Crystal system   monoclinic
ΔE_f   0.188 eV/atom
Fermi-level density of states   2.39 states/eV per cell
Symmetry   Pm (6)

DFT (PBE) results for crystalline Zr2BrCl at its relaxed geometry.

Lattice parameters (Å, degrees): 3.2490 3.2490 9.5480 90.00 90.00 90.00
Closest atoms and distances in Å follow each position.
Fractional positions:
Br 0.0000 0.0000 0.4301  4 Zr 2.89
Zr 0.5000 0.5000 0.2457  4 Br 2.89
Zr 0.0000 0.0000 0.9954  4 Cl 2.80
Cl 0.5000 0.5000 0.8287  4 Zr 2.80

Crystal system   tetragonal
Fermi-level density of states   3.10 states/eV per cell
Symmetry   P4mm (99)
Energy relative to the lowest polymorph listed for this composition   272.8 meV/atom

DFT (PBE) results for crystalline BaLa8Ir4 at its relaxed geometry.

Lattice parameters (Å, degrees): 4.3071 10.5262 10.7534 82.44 78.45 78.19
Closest atoms and distances in Å follow each position.
Fractional positions:
La 0.1831 0.0167 0.6171  3 Ir 2.89
La 0.1535 0.3195 0.3735  3 Ir 2.88-2.89
La 0.5588 0.6480 0.2343  3 Ir 2.89-2.90
La 0.8783 0.6835 0.5599  3 Ir 2.88-2.89
La 0.4726 0.3554 0.6993  3 Ir 2.89-2.90
La 0.2258 0.6503 0.8982  3 Ir 2.89-2.91
La 0.8483 0.9865 0.3169  3 Ir 2.89
La 0.8056 0.3534 0.0354  3 Ir 2.89-2.91
Ir 0.1809 0.4949 0.1433  6 La 2.88-2.91
Ir 0.6606 0.1748 0.5040  6 La 2.89-2.90
Ir 0.3709 0.8284 0.4298  6 La 2.89-2.90
Ir 0.8505 0.5086 0.7903  6 La 2.88-2.91
Ba 0.5153 0.0021 0.9672  10 La 4.26-4.39, 2 Ba 4.31

Crystal system   monoclinic
ΔE_f   -0.576 eV/atom
Fermi-level density of states   10.78 states/eV per cell
Symmetry   Cm (8)

DFT (PBE) results for crystalline TaNb2Sn2 at its relaxed geometry.

Lattice parameters (Å, degrees): 7.3790 7.3790 3.6645 90.00 90.00 90.00
Closest atoms and distances in Å follow each position.
Fractional positions:
Sn 0.8600 0.6400 0.0000  6 Nb 2.77-2.88, 2 Ta 2.85, 1 Sn 2.92
Sn 0.3600 0.8600 0.0000  6 Nb 2.77-2.88, 2 Ta 2.85, 1 Sn 2.92
Sn 0.6400 0.1400 0.0000  6 Nb 2.77-2.88, 2 Ta 2.85, 1 Sn 2.92
Sn 0.1400 0.3600 0.0000  6 Nb 2.77-2.88, 2 Ta 2.85, 1 Sn 2.92
Nb 0.1609 0.6609 0.5000  6 Sn 2.77-2.88
Nb 0.8391 0.3391 0.5000  6 Sn 2.77-2.88
Nb 0.3391 0.1609 0.5000  6 Sn 2.77-2.88
Nb 0.6609 0.8391 0.5000  6 Sn 2.77-2.88
Ta 0.0000 0.0000 0.0000  4 Sn 2.85
Ta 0.5000 0.5000 0.0000  4 Sn 2.85

Crystal system   tetragonal
ΔE_f   0.107 eV/atom
Fermi-level density of states   9.41 states/eV per cell
Symmetry   P4/mbm (127)

DFT (PBE) results for crystalline HfB4W3 at its relaxed geometry.

Lattice parameters (Å, degrees): 3.0639 4.8391 6.9500 110.01 102.73 90.00
Closest atoms and distances in Å follow each position.
Fractional positions:
W 0.8015 0.8058 0.6030  6 B 2.24-2.34
W 0.0000 0.5000 0.0000  8 B 2.46
W 0.1985 0.1942 0.3970  6 B 2.24-2.34
B 0.3636 0.1926 0.7272  1 B 1.68
B 0.6369 0.4617 0.2738  1 B 1.68
B 0.6364 0.8074 0.2728  1 B 1.68
B 0.3631 0.5383 0.7262  1 B 1.68
Hf 0.5000 0.0000 0.0000  4 B 2.34-2.35

Crystal system   monoclinic
ΔE_f   -0.141 eV/atom
Fermi-level density of states   3.91 states/eV per cell
Symmetry   C2/m (12)

DFT (PBE) results for crystalline Pm2PuRh9 at its relaxed geometry.

Lattice parameters (Å, degrees): 5.2876 5.2876 9.3710 73.61 73.61 60.00
Closest atoms and distances in Å follow each position.
Fractional positions:
Pm 0.1386 0.1386 0.5842  12 Rh 3.04-3.37, 3 Pm 3.40
Pm 0.8614 0.8614 0.4158  12 Rh 3.04-3.37, 3 Pm 3.40
Pu 0.0000 0.0000 0.0000  6 Rh 3.05
Rh 0.0820 0.5817 0.7546  7 Rh 2.64-2.72
Rh 0.5000 0.5000 0.5000  6 Rh 2.72
Rh 0.5817 0.5817 0.7546  7 Rh 2.64-2.72
Rh 0.3331 0.3331 0.0007  6 Rh 2.65-2.66
Rh 0.4183 0.4183 0.2454  7 Rh 2.64-2.72
Rh 0.6669 0.6669 0.9993  6 Rh 2.65-2.66
Rh 0.5817 0.0820 0.7546  7 Rh 2.64-2.72
Rh 0.4183 0.9180 0.2454  7 Rh 2.64-2.72
Rh 0.9180 0.4183 0.2454  7 Rh 2.64-2.72

Crystal system   trigonal
ΔE_f   -0.454 eV/atom
Fermi-level density of states   18.52 states/eV per cell
Symmetry   R-3m (166)

DFT (PBE) results for crystalline HoEr6Sc6 at its relaxed geometry.

Lattice parameters (Å, degrees): 6.2627 6.2627 10.5788 90.00 90.00 115.85
Closest atoms and distances in Å follow each position.
Fractional positions:
Er 0.0000 0.0000 0.3339  6 Sc 3.33-3.36, 3 Er 3.48-3.52, 1 Ho 3.53
Er 0.3516 0.6484 0.0000  6 Sc 3.11-3.43, 1 Er 3.15
Er 0.7174 0.2826 0.5000  6 Sc 3.22-3.36, 4 Er 3.40-3.48
Er 0.2826 0.7174 0.5000  6 Sc 3.22-3.36, 4 Er 3.40-3.48
Er 0.0000 0.0000 0.6661  6 Sc 3.33-3.36, 3 Er 3.48-3.52, 1 Ho 3.53
Er 0.6484 0.3516 0.0000  6 Sc 3.11-3.43, 1 Er 3.15
Sc 0.0000 0.5000 0.2262  6 Er 3.11-3.36, 4 Sc 3.20-3.33
Sc 0.5000 0.5000 0.7118  4 Sc 3.20, 6 Er 3.22-3.43
Sc 0.5000 0.5000 0.2882  4 Sc 3.20, 6 Er 3.22-3.43
Sc 0.5000 0.0000 0.2262  6 Er 3.11-3.36, 4 Sc 3.20-3.33
Sc 0.5000 0.0000 0.7738  6 Er 3.11-3.36, 4 Sc 3.20-3.33
Sc 0.0000 0.5000 0.7738  6 Er 3.11-3.36, 4 Sc 3.20-3.33
Ho 0.0000 0.0000 0.0000  8 Er 3.53-3.73, 8 Sc 3.94

Crystal system   orthorhombic
ΔE_f   0.204 eV/atom
Fermi-level density of states   21.61 states/eV per cell
Symmetry   Cmmm (65)

DFT (PBE) results for crystalline LiSbN at its relaxed geometry.

Lattice parameters (Å, degrees): 3.0861 9.1353 9.1277 142.84 109.71 70.77
Closest atoms and distances in Å follow each position.
Fractional positions:
N 0.4306 0.5137 0.9437  1 N 1.16
N 0.5694 0.4863 0.0563  1 N 1.16
Li 0.7437 0.5367 0.7801  2 N 2.19-2.20
Li 0.2563 0.4633 0.2199  2 N 2.19-2.20
Sb 0.0630 0.2381 0.3057  3 Sb 2.88-3.09, 4 Li 2.98-3.07
Sb 0.9370 0.7619 0.6943  3 Sb 2.88-3.09, 4 Li 2.98-3.07

Crystal system   triclinic
Fermi-level density of states   2.58 states/eV per cell
Symmetry   P-1 (2)
Energy relative to the lowest polymorph listed for this composition   0.0 meV/atom

DFT (PBE) results for crystalline RbNaRe2 at its relaxed geometry.

Lattice parameters (Å, degrees): 9.1282 9.1282 6.8845 48.47 48.47 90.00
Closest atoms and distances in Å follow each position.
Fractional positions:
Rb 0.0000 0.0000 0.0000  2 Na 2.39
Rb 0.7500 0.2500 0.5000  2 Na 2.39
Na 0.5000 0.5000 0.0000  2 Rb 2.39
Na 0.2500 0.7500 0.5000  2 Rb 2.39
Re 0.3750 0.4113 0.7500  2 Re 2.48
Re 0.8750 0.8387 0.7500  2 Re 2.48
Re 0.1613 0.6250 0.2500  2 Re 2.48
Re 0.5887 0.1250 0.2500  2 Re 2.48

Crystal system   tetragonal
ΔE_f   2.185 eV/atom
Fermi-level density of states   9.54 states/eV per cell
Symmetry   I-42d (122)
Energy relative to the lowest polymorph listed for this composition   0.0 meV/atom

DFT (PBE) results for crystalline LaPr2In2 at its relaxed geometry.

Lattice parameters (Å, degrees): 4.5527 5.1392 13.4699 90.00 99.68 90.00
Closest atoms and distances in Å follow each position.
Fractional positions:
Pr 0.7630 0.2500 0.5248  2 In 3.28, 4 Pr 3.49-3.50, 2 La 3.58
Pr 0.0497 0.7500 0.1001  8 In 3.40-3.47, 2 La 3.58, 2 Pr 3.70
Pr 0.2370 0.7500 0.4752  2 In 3.28, 4 Pr 3.49-3.50, 2 La 3.58
Pr 0.9503 0.2500 0.8999  8 In 3.40-3.47, 2 La 3.58, 2 Pr 3.70
In 0.6479 0.7500 0.2976  4 Pr 3.28-3.47, 4 La 3.44
In 0.5450 0.2500 0.0902  6 Pr 3.40-3.44, 2 La 3.47, 4 In 3.51-3.77
In 0.3521 0.2500 0.7024  4 Pr 3.28-3.47, 4 La 3.44
In 0.4550 0.7500 0.9098  6 Pr 3.40-3.44, 2 La 3.47, 4 In 3.51-3.77
La 0.8570 0.7500 0.7125  6 In 3.44-3.47, 4 Pr 3.58
La 0.1430 0.2500 0.2875  6 In 3.44-3.47, 4 Pr 3.58

Crystal system   monoclinic
ΔE_f   -0.395 eV/atom
Fermi-level density of states   8.49 states/eV per cell
Symmetry   P2_1/m (11)
Energy relative to the lowest polymorph listed for this composition   0.0 meV/atom

DFT (PBE) results for crystalline YLuSn at its relaxed geometry.

Lattice parameters (Å, degrees): 3.5304 3.5304 7.1645 104.26 104.26 90.00
Closest atoms and distances in Å follow each position.
Fractional positions:
Lu 0.6780 0.6780 0.3560  4 Sn 3.24, 4 Lu 3.53, 4 Y 3.55
Sn 0.3314 0.3314 0.6628  4 Lu 3.24, 4 Y 3.29, 4 Sn 3.53
Y 0.9906 0.9906 0.9812  4 Sn 3.29, 4 Y 3.53, 4 Lu 3.55

Crystal system   tetragonal
ΔE_f   -0.430 eV/atom
Fermi-level density of states   2.84 states/eV per cell
Symmetry   I4mm (107)
Energy relative to the lowest polymorph listed for this composition   0.0 meV/atom

DFT (PBE) results for crystalline RbBaCuO2 at its relaxed geometry.

Lattice parameters (Å, degrees): 5.7689 5.9058 7.5739 90.06 90.00 90.00
Closest atoms and distances in Å follow each position.
Fractional positions:
O 0.7514 0.1902 0.5000  1 Cu 1.82
O 0.2486 0.1902 0.0000  1 Cu 1.82
O 0.7514 0.8098 0.0000  1 Cu 1.82
O 0.2486 0.8098 0.5000  1 Cu 1.82
Cu 0.0000 0.0000 0.0000  2 O 1.82
Cu 0.0000 0.0000 0.5000  2 O 1.82
Rb 0.9993 0.5000 0.2500  4 O 3.00
Rb 0.0007 0.5000 0.7500  4 O 3.00
Ba 0.4998 0.0000 0.2500  4 O 2.64
Ba 0.5002 0.0000 0.7500  4 O 2.64

Crystal system   monoclinic
Symmetry   P2/c (13)
Energy   -4.882 eV/atom

DFT (PBE) results for crystalline SrLiCd3 at its relaxed geometry.

Lattice parameters (Å, degrees): 6.2776 6.2776 6.2776 90.00 90.00 90.00
Closest atoms and distances in Å follow each position.
Fractional positions:
Sr 0.0000 0.0000 0.0000  6 Cd 3.14
Li 0.5000 0.5000 0.5000  12 Cd 4.44
Cd 0.5000 0.0000 0.0000  2 Sr 3.14
Cd 0.0000 0.0000 0.5000  2 Sr 3.14
Cd 0.0000 0.5000 0.0000  2 Sr 3.14

Crystal system   cubic
ΔE_f   0.512 eV/atom
Fermi-level density of states   3.78 states/eV per cell
Symmetry   Pm-3m (221)
Energy relative to the lowest polymorph listed for this composition   738.3 meV/atom

DFT (PBE) results for crystalline ZrCuCl2 at its relaxed geometry.

Lattice parameters (Å, degrees): 10.6933 10.6933 10.6933 17.29 17.29 17.29
Closest atoms and distances in Å follow each position.
Fractional positions:
Cl 0.4750 0.4750 0.4750  3 Zr 2.62
Cl 0.0250 0.0250 0.0250  3 Zr 2.62
Cu 0.2500 0.2500 0.2500  6 Cu 3.21
Zr 0.7500 0.7500 0.7500  6 Cl 2.62

Crystal system   trigonal
Fermi-level density of states   2.07 states/eV per cell
Symmetry   R-3m (166)
Energy relative to the lowest polymorph listed for this composition   163.9 meV/atom

DFT (PBE) results for crystalline V2CuRu2 at its relaxed geometry.

Lattice parameters (Å, degrees): 7.0977 7.0977 2.8309 90.00 90.00 90.00
Closest atoms and distances in Å follow each position.
Fractional positions:
V 0.6444 0.1444 0.0000  6 Ru 2.46-2.55, 2 Cu 2.72
V 0.8556 0.6444 0.0000  6 Ru 2.46-2.55, 2 Cu 2.72
V 0.1444 0.3556 0.0000  6 Ru 2.46-2.55, 2 Cu 2.72
V 0.3556 0.8556 0.0000  6 Ru 2.46-2.55, 2 Cu 2.72
Cu 0.5000 0.5000 0.0000  4 V 2.72, 2 Cu 2.83, 8 Ru 3.04
Cu 0.0000 0.0000 0.0000  4 V 2.72, 2 Cu 2.83, 8 Ru 3.04
Ru 0.8453 0.3453 0.5000  6 V 2.46-2.55
Ru 0.1547 0.6547 0.5000  6 V 2.46-2.55
Ru 0.3453 0.1547 0.5000  6 V 2.46-2.55
Ru 0.6547 0.8453 0.5000  6 V 2.46-2.55

Crystal system   tetragonal
ΔE_f   0.071 eV/atom
Fermi-level density of states   7.38 states/eV per cell
Symmetry   P4/mbm (127)
Energy relative to the lowest polymorph listed for this composition   52.7 meV/atom